No. 1
# Cd3Re5

An optimized crystal structure of Cd3Re5 (GGA-PBE, the Alexandria database).

Computed properties:
Energy relative to the elements ... 0.647 eV/atom
VASP energy ... -7.476 eV/atom
Total moment ... 0.00 μB per atom
Distance to the lowest polymorph of the same formula ... 0.000 eV/atom
Volume ... 18.5 Å³ per atom

Lattice parameters (Å, degrees): 4.945 7.969 8.148 81.94 75.31 72.93
Atoms (fractional coordinates):
Cd (0.193, 0.074, 0.051)
Cd (0.197, 0.101, 0.515)
Cd (0.294, 0.481, 0.904)
Cd (0.706, 0.519, 0.096)
Cd (0.803, 0.899, 0.485)
Cd (0.807, 0.926, 0.949)
Re (0.088, 0.685, 0.213)
Re (0.236, 0.483, 0.547)
Re (0.241, 0.350, 0.242)
Re (0.289, 0.755, 0.650)
Re (0.431, 0.792, 0.319)
Re (0.569, 0.208, 0.681)
Re (0.711, 0.245, 0.350)
Re (0.759, 0.650, 0.758)
Re (0.764, 0.517, 0.453)
Re (0.912, 0.315, 0.787)

No. 2
# Cd5Re

An optimized crystal structure of Cd5Re (GGA-PBE, the Alexandria database).

Computed properties:
Energy relative to the elements ... 0.342 eV/atom
VASP energy ... -2.495 eV/atom
Total moment ... 0.00 μB per atom
Distance to the lowest polymorph of the same formula ... 0.000 eV/atom
Volume ... 19.9 Å³ per atom

Lattice parameters (Å, degrees): 5.894 5.894 7.458 106.60 106.60 28.78
Atoms (fractional coordinates):
Cd (0.000, 0.000, 0.000)
Cd (0.045, 0.045, 0.626)
Cd (0.311, 0.311, 0.691)
Cd (0.386, 0.386, 0.271)
Cd (0.671, 0.671, 0.336)
Re (0.717, 0.717, 0.962)

No. 3
# CdRe

An optimized crystal structure of CdRe (GGA-PBE, the Alexandria database).

Computed properties:
Energy relative to the elements ... 0.387 eV/atom
VASP energy ... -6.294 eV/atom
Total moment ... 0.00 μB per atom
Distance to the lowest polymorph of the same formula ... 0.162 eV/atom
Volume ... 17.7 Å³ per atom

Lattice parameters (Å, degrees): 5.047 5.047 8.338 112.93 112.93 33.28
Atoms (fractional coordinates):
Cd (0.000, 0.000, 0.000)
Cd (0.327, 0.327, 0.182)
Cd (0.673, 0.673, 0.818)
Re (0.000, 0.000, 0.500)
Re (0.337, 0.337, 0.630)
Re (0.663, 0.663, 0.370)

No. 4
# Cd5Re

An optimized crystal structure of Cd5Re (GGA-PBE, the Alexandria database).

Computed properties:
Energy relative to the elements ... 0.364 eV/atom
VASP energy ... -2.473 eV/atom
Total moment ... 0.00 μB per atom
Distance to the lowest polymorph of the same formula ... 0.021 eV/atom
Volume ... 19.9 Å³ per atom

Lattice parameters (Å, degrees): 5.038 8.225 8.225 20.53 90.00 90.00
Atoms (fractional coordinates):
Cd (0.000, 0.000, 0.000)
Cd (0.000, 0.316, 0.316)
Cd (0.500, 0.210, 0.210)
Cd (0.500, 0.553, 0.553)
Cd (0.500, 0.884, 0.884)
Re (0.000, 0.657, 0.657)